[1]
LaNd9Al2 | GGA-PBE | optimized geometry

Cell: 4.962 4.962 15.347 Å, 90.00 90.00 90.00°
Positions (direct):
La  0.000  0.000  0.000
Nd  0.500  0.000  0.500
Nd  0.000  0.500  0.181
Nd  0.500  0.000  0.181
Nd  0.500  0.500  0.657
Nd  0.000  0.500  0.819
Nd  0.500  0.500  0.000
Nd  0.000  0.500  0.500
Nd  0.500  0.000  0.819
Nd  0.500  0.500  0.343
Al  0.000  0.000  0.340
Al  0.000  0.000  0.660

Calculated values
calculated volume	377.8	Å³/f.u.
final energy	-56.393	eV per cell
theoretical density	6.554	g/cm³

=====

[2]
TbZrGe2 | GGA-PBE | optimized geometry

Cell: 5.667 5.667 6.945 Å, 114.08 114.08 90.00°
Positions (direct):
Zr  0.000  0.000  0.000
Zr  0.750  0.250  0.500
Tb  0.500  0.500  0.000
Tb  0.250  0.750  0.500
Ge  0.242  0.242  0.485
Ge  0.758  0.758  0.515
Ge  0.508  0.008  0.015
Ge  0.992  0.492  0.985

Calculated values
calculated volume	91.1	Å³/f.u.
final energy	-50.389	eV per cell
theoretical density	7.209	g/cm³

=====

| no. | D(E_F) (states/eV/cell) | formation enthalpy at 0 K (eV/atom) |
| --- | --- | --- |
| 1 | 14.1 | -0.09 |
| 2 | 6.7 | -0.70 |